# BaZr2Sc

A relaxed structure of BaZr2Sc (GGA-PBE, Alexandria).

Calculated values
Relative energy among the computed polymorphs in meV per atom: 512
E_form in eV per atom: 0.79
Calculated volume in Å³/cell: 226.9
Space-group type: I-42d (122)
Raw total energy in Ry/atom: -0.4075

Lattice parameters (Å, degrees): 11.596 11.596 11.596 157.57 157.57 31.94
Fractional coordinates of all 8 atoms:
1 Ba 0.000 0.000 0.000
2 Ba 0.750 0.250 0.500
3 Zr 0.139 0.125 0.514
4 Zr 0.375 0.861 0.986
5 Zr 0.611 0.625 0.486
6 Zr 0.875 0.389 0.014
7 Sc 0.250 0.750 0.500
8 Sc 0.500 0.500 0.000